Entry 1:
Entry from Alexandria: SrSmHfTiO6 after structural relaxation (PBE).

Cell and atoms, written as extended XYZ:
```
10
Lattice="3.816 -3.715 -2.023 -0.165 -5.445 1.667 -1.631 -4.051 -3.658" Properties=species:S:1:pos:R:3 pbc="T T T"
Sr 0.505 -3.303 -1.004
Sm 1.515 -9.908 -3.011
Hf 0.000 0.000 0.000
Ti 1.010 -6.605 -2.007
O 0.433 -6.036 -0.204
O 1.587 -7.175 -3.811
O -0.368 -8.024 -2.000
O 2.387 -5.186 -2.015
O -0.287 -5.351 -2.818
O 2.306 -7.859 -1.197
```

Calculated values
The value obtained for the formation energy (no corrections) is -302 kJ/mol of atoms. As for the space group: No. 216.

---

Entry 2:
Entry from Alexandria: SmHfTi2O8 after structural relaxation (PBE).

Cell and atoms, written as extended XYZ:
```
12
Lattice="-4.872 0.609 1.404 0.634 -3.461 3.701 3.608 5.388 0.897" Properties=species:S:1:pos:R:3 pbc="T T T"
Sm -1.692 2.285 2.427
Hf 0.000 0.000 0.000
Ti -2.119 -1.426 2.553
Ti 1.061 0.251 3.575
O -2.625 -1.599 4.330
O -1.144 -0.006 1.861
O -0.039 1.677 4.007
O 2.711 0.287 4.417
O 1.375 0.332 1.751
O 0.199 -1.294 4.126
O 2.654 2.534 3.227
O -0.144 4.143 2.586
```

Calculated values
The value obtained for the formation energy (no corrections) is -294 kJ/mol of atoms. As for the space group: No. 82.

---

Entry 3:
Entry from Alexandria: Hf2SnO after structural relaxation (PBE).

Cell and atoms, written as extended XYZ:
```
4
Lattice="3.132 0.000 0.000 1.566 2.713 0.000 1.566 0.904 7.975" Properties=species:S:1:pos:R:3 pbc="T T T"
Hf 1.566 0.904 1.481
Hf 4.699 2.713 6.494
Sn 3.132 1.808 3.988
O 0.000 0.000 0.000
```

Calculated values
The value obtained for the formation energy (no corrections) is -110 kJ/mol of atoms. Its excess energy over the best structure of this formula in the dataset is 13.1 kJ per mole of atoms. As for the space group: No. 166.

---

Entry 4:
Entry from Alexandria: Hf2SnO after structural relaxation (PBE).

Cell and atoms, written as extended XYZ:
```
8
Lattice="-0.797 -6.652 0.445 2.782 0.076 6.111 -2.085 -2.826 4.673" Properties=species:S:1:pos:R:3 pbc="T T T"
Hf -0.580 -4.088 2.159
Hf 1.026 -2.258 5.095
Hf -0.498 -4.577 6.668
Hf -0.147 -7.883 8.537
Sn 0.000 0.000 0.000
Sn -0.945 -6.384 4.198
O 0.993 -3.288 3.278
O 0.845 -3.019 7.031
```

Calculated values
The value obtained for the formation energy (no corrections) is -123 kJ/mol of atoms. Its excess energy over the best structure of this formula in the dataset is 0.0 kJ per mole of atoms. As for the space group: No. 122.

---

Entry 5:
Entry from Alexandria: HfSn3O after structural relaxation (PBE).

Cell and atoms, written as extended XYZ:
```
5
Lattice="5.540 0.000 0.000 0.000 5.540 0.000 0.000 0.000 5.540" Properties=species:S:1:pos:R:3 pbc="T T T"
Hf 0.000 0.000 0.000
Sn 0.000 2.770 0.000
Sn 0.000 0.000 2.770
Sn 2.770 0.000 0.000
O 2.770 2.770 2.770
```

Calculated values
The value obtained for the formation energy (no corrections) is 83 kJ/mol of atoms. Its excess energy over the best structure of this formula in the dataset is 107.2 kJ per mole of atoms. As for the space group: No. 221.

---

Entry 6:
Entry from Alexandria: Hf2SnO after structural relaxation (PBE).

Cell and atoms, written as extended XYZ:
```
4
Lattice="-1.070 -1.997 4.107 1.437 1.966 4.009 -3.110 2.038 2.859" Properties=species:S:1:pos:R:3 pbc="T T T"
Hf -0.686 0.502 2.744
Hf -2.057 1.505 8.232
Sn -1.371 1.003 5.488
O 0.000 0.000 0.000
```

Calculated values
The value obtained for the formation energy (no corrections) is -32 kJ/mol of atoms. Its excess energy over the best structure of this formula in the dataset is 91.5 kJ per mole of atoms. As for the space group: No. 225.

---

Entry 7:
Entry from Alexandria: Hf6SnO after structural relaxation (PBE).

Cell and atoms, written as extended XYZ:
```
8
Lattice="-3.936 2.764 -3.182 -5.078 -2.498 -1.095 -5.349 2.586 3.663" Properties=species:S:1:pos:R:3 pbc="T T T"
Hf -6.492 1.142 2.396
Hf -7.441 4.093 0.508
Hf -4.619 1.543 -1.437
Hf -6.922 -1.241 -1.121
Hf -7.870 1.710 -3.010
Hf -9.743 1.309 0.823
Sn -7.181 1.426 -0.307
O 0.000 0.000 0.000
```

Calculated values
The value obtained for the formation energy (no corrections) is -38 kJ/mol of atoms. As for the space group: No. 2.

---

Entry 8:
Entry from Alexandria: HfSn3O after structural relaxation (PBE).

Cell and atoms, written as extended XYZ:
```
5
Lattice="4.701 0.000 0.000 0.000 4.701 0.000 0.000 0.000 4.701" Properties=species:S:1:pos:R:3 pbc="T T T"
Hf 2.351 2.351 2.351
Sn 0.000 2.351 0.000
Sn 0.000 0.000 2.351
Sn 2.351 0.000 0.000
O 0.000 0.000 0.000
```

Calculated values
The value obtained for the formation energy (no corrections) is -24 kJ/mol of atoms. Its excess energy over the best structure of this formula in the dataset is 0.0 kJ per mole of atoms. As for the space group: No. 221.